No. 1
9
Lattice="5.786 -1.753 0.000 5.786 1.753 0.000 -4.870 0.000 6.548" Properties=species:S:1:pos:R:3 comment="Na2Li2PaO4 | Alexandria via LeMat-Bulk | PBE-GGA | optimized geometry" dft_energy_ev_per_atom=-6.264 formation_energy_uncorrected_mev_per_atom=-2287 mass_density_g_cm3=4.44 pbc="T T T"
Na 0.731 0.000 1.686
Na 5.972 0.000 4.862
Li 3.604 0.000 0.671
Li 3.099 0.000 5.877
Pa -2.435 0.000 3.274
O -1.703 0.000 5.266
O 2.044 0.000 3.819
O 4.659 0.000 2.729
O 8.406 0.000 1.282

=====

No. 2
20
Lattice="-4.111 4.111 4.111 4.111 -4.111 4.111 4.111 4.111 -4.111" Properties=species:S:1:pos:R:3 comment="NaLi3Pa4O12 | Alexandria via LeMat-Bulk | PBE-GGA | optimized geometry" dft_energy_ev_per_atom=-8.339 formation_energy_uncorrected_mev_per_atom=-3112 mass_density_g_cm3=6.93 pbc="T T T"
Na 0.000 0.000 0.000
Li 4.111 0.000 0.000
Li 0.000 4.111 0.000
Li 0.000 0.000 4.111
Pa 2.056 2.056 -2.056
Pa 2.056 -2.056 2.056
Pa -2.056 2.056 2.056
Pa 2.056 2.056 2.056
O 4.111 -1.597 2.648
O 2.515 1.463 0.000
O 5.708 1.463 0.000
O 2.648 4.111 -1.597
O 1.463 0.000 2.515
O 0.000 2.515 1.463
O 4.111 1.597 2.648
O 2.648 4.111 1.597
O 1.463 0.000 5.708
O -1.597 2.648 4.111
O 1.597 2.648 4.111
O 0.000 5.708 1.463

=====

No. 3
14
Lattice="-3.162 3.565 4.561 3.162 -3.565 4.561 3.162 3.565 -4.561" Properties=species:S:1:pos:R:3 comment="NaLiPaO4 | Alexandria via LeMat-Bulk | PBE-GGA | optimized geometry" dft_energy_ev_per_atom=-7.093 formation_energy_uncorrected_mev_per_atom=-2441 mass_density_g_cm3=5.25 pbc="T T T"
Na -1.581 1.783 2.281
Na 1.581 1.783 2.281
Li 3.162 1.783 -1.273
Li 0.000 1.783 5.835
Pa 0.000 0.000 0.000
Pa 0.000 3.565 0.000
O 0.000 0.002 1.991
O 1.382 1.783 -0.045
O 1.780 -1.783 4.517
O 3.162 0.002 2.570
O 0.000 3.563 1.991
O 1.382 5.348 0.045
O 1.780 1.783 4.606
O 3.162 3.563 2.570